DFT (PBE) results for a relaxed structure of Mn2CuHg.

Output
- Spin magnetization: 15.1 Bohr magnetons per cell
- Uncorrected energy: -0.391 Ry/atom
- DFT formation energy: 0.362 eV per atom

a b c (Å): 3.106 4.506 9.070
angles (deg): 90.00 90.00 90.00
Space group Imm2 (No. 44)
Inequivalent atoms, fractional coordinates:
Mn 0.000 0.000 0.000
Mn 0.000 0.500 0.240
Cu 0.000 0.500 0.728
Hg 0.000 0.000 0.473